[1]
A plane-wave DFT calculation with PBEsol was carried out for crystalline CoAgP at its relaxed geometry.

Results
Its calculated formation energy is 35 kJ/mol of formula units. As for the mass density: 7.77 g/cm³.

Cell lengths 3.910, 3.910, 3.910 Å; angles 60.00, 60.00, 60.00 degrees
Site moments in Bohr magnetons follow the coordinates.
Sites, in units of the cell vectors:
Ag (0.000, 0.000, 0.000)  0.02
Co (0.500, 0.500, 0.500)  0.47
P (0.250, 0.250, 0.250)  0.01

***

[2]
A plane-wave DFT calculation with PBEsol was carried out for crystalline ScInMo at its relaxed geometry.

Results
Its calculated formation energy is 11 kJ/mol of formula units. For the energy above the most stable polymorph in this dataset, the calculation gives 0.000 eV/atom. As for the mass density: 7.56 g/cm³.

Cell lengths 3.162, 3.777, 5.306 Å; angles 110.85, 107.34, 90.00 degrees
Sites, in units of the cell vectors:
Sc (0.325, 0.325, 0.651)
Mo (0.667, 0.667, 0.334)
In (0.008, 0.008, 0.016)

***

[3]
A plane-wave DFT calculation with PBEsol was carried out for crystalline La2TcSe at its relaxed geometry.

Results
The uncorrected formation energy is -370.9 meV per atom. As for the mass density: 8.28 g/cm³.

Cell lengths 4.136, 4.136, 6.082 Å; angles 109.88, 109.88, 90.00 degrees
Site moments in Bohr magnetons follow the coordinates.
Sites, in units of the cell vectors:
Tc (0.250, 0.750, 0.500)  0.47
Se (0.500, 0.500, 0.000)  0.01
La (0.000, 0.000, 0.000)  -0.02
La (0.750, 0.250, 0.500)  -0.01

***

- Among the records above, which one has the lowest mass density?
  ScInMo